No. 1
{
  "formula": "Sc2SiBi2",
  "functional": "PBE",
  "state": "optimized geometry",
  "cell": [[7.333, 0.000, 0.000], [0.000, 7.333, 0.000], [0.000, 0.000, 4.530]],
  "species": ["Si", "Si", "Bi", "Bi", "Bi", "Bi", "Sc", "Sc", "Sc", "Sc"],
  "fractional_positions": [[0.500, 0.500, 0.000], [0.000, 0.000, 0.000], [0.160, 0.660, 0.500], [0.660, 0.840, 0.500], [0.840, 0.340, 0.500], [0.340, 0.160, 0.500], [0.340, 0.840, 0.000], [0.660, 0.160, 0.000], [0.840, 0.660, 0.000], [0.160, 0.340, 0.000]],
  "n_ef_per_ev_fu": 3.17,
  "e_form_raw_ev_per_atom": -0.33
}

No. 2
{
  "formula": "ScSi3Bi",
  "functional": "PBE",
  "state": "optimized geometry",
  "cell": [[5.045, 0.000, 0.000], [0.000, 5.045, 0.000], [0.000, 0.000, 5.045]],
  "species": ["Sc", "Bi", "Si", "Si", "Si"],
  "fractional_positions": [[0.000, 0.000, 0.000], [0.500, 0.500, 0.500], [0.000, 0.500, 0.000], [0.500, 0.000, 0.000], [0.000, 0.000, 0.500]],
  "n_ef_per_ev_fu": 4.24,
  "e_form_raw_ev_per_atom": 0.80
}

No. 3
{
  "formula": "Sc6SiBi2",
  "functional": "PBE",
  "state": "optimized geometry",
  "cell": [[4.018, 0.000, 0.000], [0.000, 7.035, -3.239], [0.000, -0.712, 7.712]],
  "species": ["Sc", "Sc", "Sc", "Sc", "Sc", "Sc", "Bi", "Bi", "Si"],
  "fractional_positions": [[0.000, 0.239, 0.000], [0.500, 0.614, 0.000], [0.000, 0.761, 0.761], [0.000, 0.000, 0.239], [0.500, 0.000, 0.614], [0.500, 0.386, 0.386], [0.000, 0.667, 0.333], [0.000, 0.333, 0.667], [0.500, 0.000, 0.000]],
  "n_ef_per_ev_fu": 12.85,
  "e_form_raw_ev_per_atom": -0.59
}

No. 4
{
  "formula": "Sc2SiBi2",
  "functional": "PBE",
  "state": "optimized geometry",
  "cell": [[5.683, 0.000, 0.000], [0.000, 5.683, 0.000], [2.842, 2.842, 4.422]],
  "species": ["Sc", "Sc", "Bi", "Bi", "Si"],
  "fractional_positions": [[0.250, 0.750, 0.500], [0.750, 0.250, 0.500], [0.323, 0.323, 0.353], [0.677, 0.677, 0.647], [0.000, 0.000, 0.000]],
  "n_ef_per_ev_fu": 2.58,
  "e_form_raw_ev_per_atom": 0.07
}

No. 5
{
  "formula": "ScSi2Bi",
  "functional": "PBE",
  "state": "optimized geometry",
  "cell": [[-0.989, -5.323, -3.560], [1.630, -3.693, 5.068], [-5.287, -4.618, 2.477]],
  "species": ["Si", "Si", "Si", "Si", "Sc", "Sc", "Bi", "Bi"],
  "fractional_positions": [[0.624, 0.125, 0.250], [0.875, 0.874, 0.750], [0.126, 0.625, 0.250], [0.375, 0.376, 0.750], [0.500, 0.500, 0.000], [0.250, 0.750, 0.500], [0.750, 0.250, 0.500], [0.000, 0.000, 0.000]],
  "n_ef_per_ev_fu": 0.01,
  "e_form_raw_ev_per_atom": 0.39
}

No. 6
{
  "formula": "ScSi3Bi",
  "functional": "PBE",
  "state": "optimized geometry",
  "cell": [[5.275, 0.000, 0.000], [0.000, 5.275, 0.000], [0.000, 0.000, 5.275]],
  "species": ["Si", "Si", "Si", "Sc", "Bi"],
  "fractional_positions": [[0.500, 0.000, 0.000], [0.000, 0.500, 0.000], [0.000, 0.000, 0.500], [0.500, 0.500, 0.500], [0.000, 0.000, 0.000]],
  "n_ef_per_ev_fu": 6.62,
  "e_form_raw_ev_per_atom": 1.37
}

No. 7
{
  "formula": "ScSiBi3",
  "functional": "PBE",
  "state": "optimized geometry",
  "cell": [[-4.494, -0.062, 3.272], [-1.305, -5.063, -1.889], [3.001, -2.295, 4.078]],
  "species": ["Sc", "Bi", "Bi", "Bi", "Si"],
  "fractional_positions": [[0.000, 0.000, 0.000], [0.500, 0.000, 0.000], [0.000, 0.500, 0.000], [0.000, 0.000, 0.500], [0.500, 0.500, 0.500]],
  "n_ef_per_ev_fu": 3.73,
  "e_form_raw_ev_per_atom": 0.62
}

No. 8
{
  "formula": "Sc2SiBi",
  "functional": "PBE",
  "state": "optimized geometry",
  "cell": [[7.641, 0.000, 0.000], [0.000, 7.641, 0.000], [3.820, 3.820, 3.226]],
  "species": ["Sc", "Sc", "Sc", "Sc", "Si", "Si", "Bi", "Bi"],
  "fractional_positions": [[0.158, 0.625, 0.250], [0.592, 0.125, 0.250], [0.875, 0.842, 0.750], [0.375, 0.408, 0.750], [0.500, 0.500, 0.000], [0.250, 0.750, 0.500], [0.750, 0.250, 0.500], [0.000, 0.000, 0.000]],
  "n_ef_per_ev_fu": 1.50,
  "e_form_raw_ev_per_atom": -0.36
}

No. 9
{
  "formula": "Sc2SiBi2",
  "functional": "PBE",
  "state": "optimized geometry",
  "cell": [[7.991, 0.000, 0.000], [0.000, 7.991, 0.000], [0.000, 0.000, 3.993]],
  "species": ["Sc", "Sc", "Sc", "Sc", "Bi", "Bi", "Bi", "Bi", "Si", "Si"],
  "fractional_positions": [[0.145, 0.645, 0.500], [0.645, 0.855, 0.500], [0.855, 0.355, 0.500], [0.355, 0.145, 0.500], [0.843, 0.657, 0.000], [0.157, 0.343, 0.000], [0.657, 0.157, 0.000], [0.343, 0.843, 0.000], [0.000, 0.000, 0.000], [0.500, 0.500, 0.000]],
  "n_ef_per_ev_fu": 5.62,
  "e_form_raw_ev_per_atom": -0.13
}

No. 10
{
  "formula": "Sc2Si2Bi",
  "functional": "PBE",
  "state": "optimized geometry",
  "cell": [[3.651, 0.000, 0.000], [0.000, 3.651, 0.000], [1.825, 1.825, 7.905]],
  "species": ["Si", "Si", "Sc", "Sc", "Bi"],
  "fractional_positions": [[0.750, 0.250, 0.500], [0.250, 0.750, 0.500], [0.617, 0.617, 0.766], [0.383, 0.383, 0.234], [0.000, 0.000, 0.000]],
  "n_ef_per_ev_fu": 2.75,
  "e_form_raw_ev_per_atom": -0.50
}

No. 11
{
  "formula": "Sc6Si2Bi",
  "functional": "PBE",
  "state": "optimized geometry",
  "cell": [[-0.388, -6.302, -4.900], [7.331, 3.141, 0.523], [-1.727, -2.003, 7.542]],
  "species": ["Sc", "Sc", "Sc", "Sc", "Sc", "Sc", "Sc", "Sc", "Sc", "Sc", "Sc", "Sc", "Si", "Si", "Si", "Si", "Bi", "Bi"],
  "fractional_positions": [[0.700, 0.378, 0.678], [0.529, 0.717, 0.811], [0.212, 0.755, 0.968], [0.471, 0.283, 0.189], [0.212, 0.245, 0.457], [0.094, 0.283, 0.811], [0.788, 0.755, 0.543], [0.906, 0.717, 0.189], [0.300, 0.622, 0.322], [0.300, 0.978, 0.678], [0.788, 0.245, 0.032], [0.700, 0.022, 0.322], [0.637, 0.000, 0.637], [0.500, 0.380, 0.880], [0.500, 0.620, 0.120], [0.363, 0.000, 0.363], [0.000, 0.000, 0.000], [0.000, 0.500, 0.500]],
  "n_ef_per_ev_fu": 9.40,
  "e_form_raw_ev_per_atom": -0.57
}

No. 12
{
  "formula": "Sc2Si2Bi",
  "functional": "PBE",
  "state": "optimized geometry",
  "cell": [[-6.710, -2.287, -1.973], [2.064, -6.981, 1.074], [-1.140, 0.220, 3.620]],
  "species": ["Bi", "Bi", "Si", "Si", "Si", "Si", "Sc", "Sc", "Sc", "Sc"],
  "fractional_positions": [[0.500, 0.500, 0.000], [0.000, 0.000, 0.000], [0.112, 0.388, 0.000], [0.388, 0.888, 0.000], [0.612, 0.112, 0.000], [0.888, 0.612, 0.000], [0.178, 0.678, 0.500], [0.322, 0.178, 0.500], [0.678, 0.822, 0.500], [0.822, 0.322, 0.500]],
  "n_ef_per_ev_fu": 2.90,
  "e_form_raw_ev_per_atom": -0.45
}

No. 13
{
  "formula": "Sc2SiBi",
  "functional": "PBE",
  "state": "optimized geometry",
  "cell": [[2.230, 0.000, 8.733], [-1.115, 1.931, 8.733], [-1.115, -1.931, 8.733]],
  "species": ["Sc", "Sc", "Si", "Bi"],
  "fractional_positions": [[0.887, 0.887, 0.887], [0.113, 0.113, 0.113], [0.500, 0.500, 0.500], [0.000, 0.000, 0.000]],
  "n_ef_per_ev_fu": 1.58,
  "e_form_raw_ev_per_atom": -0.27
}

No. 14
{
  "formula": "Sc2SiBi",
  "functional": "PBE",
  "state": "optimized geometry",
  "cell": [[-7.076, -5.913, 0.825], [-5.261, -6.291, 4.296], [-7.797, -3.339, 3.712]],
  "species": ["Sc", "Sc", "Si", "Bi"],
  "fractional_positions": [[0.902, 0.902, 0.902], [0.098, 0.098, 0.098], [0.000, 0.000, 0.000], [0.500, 0.500, 0.500]],
  "n_ef_per_ev_fu": 2.77,
  "e_form_raw_ev_per_atom": 0.24
}

No. 15
{
  "formula": "Sc2SiBi",
  "functional": "PBE",
  "state": "optimized geometry",
  "cell": [[0.000, 3.543, 3.543], [3.543, 0.000, 3.543], [3.543, 3.543, 0.000]],
  "species": ["Sc", "Sc", "Si", "Bi"],
  "fractional_positions": [[0.250, 0.250, 0.250], [0.750, 0.750, 0.750], [0.000, 0.000, 0.000], [0.500, 0.500, 0.500]],
  "n_ef_per_ev_fu": 7.18,
  "e_form_raw_ev_per_atom": -0.29
}

No. 16
{
  "formula": "Sc6SiBi2",
  "functional": "PBE",
  "state": "optimized geometry",
  "cell": [[-4.694, -0.751, 4.259], [3.637, -4.086, 3.288], [4.794, 9.930, 7.036]],
  "species": ["Si", "Si", "Bi", "Bi", "Bi", "Bi", "Sc", "Sc", "Sc", "Sc", "Sc", "Sc", "Sc", "Sc", "Sc", "Sc", "Sc", "Sc"],
  "fractional_positions": [[0.500, 0.500, 0.500], [0.000, 0.000, 0.000], [0.500, 0.500, 0.828], [0.000, 0.000, 0.328], [0.000, 0.000, 0.672], [0.500, 0.500, 0.172], [0.188, 0.812, 0.145], [0.812, 0.188, 0.855], [0.812, 0.188, 0.145], [0.214, 0.786, 0.500], [0.688, 0.688, 0.355], [0.286, 0.286, 0.000], [0.688, 0.688, 0.645], [0.714, 0.714, 0.000], [0.312, 0.312, 0.645], [0.786, 0.214, 0.500], [0.188, 0.812, 0.855], [0.312, 0.312, 0.355]],
  "n_ef_per_ev_fu": 16.93,
  "e_form_raw_ev_per_atom": -0.10
}

No. 17
{
  "formula": "Sc5Si2Bi",
  "functional": "PBE",
  "state": "optimized geometry",
  "cell": [[6.567, 0.000, -3.100], [-1.463, 6.402, -3.100], [-0.117, -0.146, 8.259]],
  "species": ["Si", "Si", "Si", "Si", "Sc", "Sc", "Sc", "Sc", "Sc", "Sc", "Sc", "Sc", "Sc", "Sc", "Bi", "Bi"],
  "fractional_positions": [[0.638, 0.138, 0.000], [0.138, 0.362, 0.000], [0.862, 0.638, 0.000], [0.362, 0.862, 0.000], [0.979, 0.479, 0.277], [0.000, 0.000, 0.000], [0.521, 0.703, 0.723], [0.297, 0.797, 0.277], [0.479, 0.297, 0.277], [0.203, 0.021, 0.723], [0.797, 0.979, 0.277], [0.500, 0.500, 0.000], [0.703, 0.203, 0.723], [0.021, 0.521, 0.723], [0.750, 0.750, 0.500], [0.250, 0.250, 0.500]],
  "n_ef_per_ev_fu": 9.11,
  "e_form_raw_ev_per_atom": -0.68
}

No. 18
{
  "formula": "ScSiBi3",
  "functional": "PBE",
  "state": "optimized geometry",
  "cell": [[5.392, 0.000, 0.000], [0.000, 5.392, 0.000], [0.000, 0.000, 5.392]],
  "species": ["Bi", "Bi", "Bi", "Sc", "Si"],
  "fractional_positions": [[0.000, 0.000, 0.500], [0.000, 0.500, 0.000], [0.500, 0.000, 0.000], [0.500, 0.500, 0.500], [0.000, 0.000, 0.000]],
  "n_ef_per_ev_fu": 6.53,
  "e_form_raw_ev_per_atom": 0.53
}

No. 19
{
  "formula": "ScTlSi2Bi",
  "functional": "PBE",
  "state": "optimized geometry",
  "cell": [[5.425, 0.000, 0.000], [0.000, 5.509, 0.000], [0.000, 0.000, 5.425]],
  "species": ["Si", "Si", "Sc", "Bi", "Tl"],
  "fractional_positions": [[0.500, 0.000, 0.000], [0.000, 0.000, 0.500], [0.000, 0.500, 0.000], [0.000, 0.000, 0.000], [0.500, 0.500, 0.500]],
  "n_ef_per_ev_fu": 5.14,
  "e_form_raw_ev_per_atom": 0.96
}

No. 20
{
  "formula": "ScV2SiBi",
  "functional": "PBE",
  "state": "optimized geometry",
  "cell": [[5.090, 0.000, 0.000], [0.000, 5.090, 0.000], [0.000, 0.000, 5.429]],
  "species": ["Bi", "V", "V", "Sc", "Si"],
  "fractional_positions": [[0.000, 0.000, 0.000], [0.500, 0.000, 0.000], [0.000, 0.500, 0.000], [0.000, 0.000, 0.500], [0.500, 0.500, 0.500]],
  "n_ef_per_ev_fu": 4.83,
  "e_form_raw_ev_per_atom": 1.30
}